# 1
This record from Alexandria describes crystalline HoTh2Pd at its relaxed geometry. The functional is PBE.

Cell: 3.7123 11.7526 10.3312 Å, 90.00 90.00 90.00°
With the nearest neighbours (Å) after each atom.
Space group Cmcm (No. 63)
Unique sites:
Ho (0.0000, 0.0826, 0.2500)  2 Pd 2.96
Th (0.0000, 0.3654, 0.0502)  2 Pd 2.95
Pd (0.0000, 0.2207, 0.7500)  4 Th 2.95, 2 Ho 2.96

Values from the calculation:
Spin magnetization in μB per cell: 0.0
Total DFT energy (no corrections) in eV/atom: -6.5464

***

# 2
This record from Alexandria describes crystalline HoTh4Pd4 at its relaxed geometry. The functional is PBE.

Cell: 8.9402 8.9402 6.0272 Å, 90.00 90.00 90.00°
With the nearest neighbours (Å) after each atom.
Space group P4_2/n (No. 86, origin choice 2)
Unique sites:
Ho (0.2500, 0.2500, 0.2500)  4 Pd 2.79
Th (0.0479, 0.6658, 0.1522)  5 Pd 2.83-3.10
Pd (0.0314, 0.6386, 0.6399)  1 Ho 2.79, 5 Th 2.83-3.10, 1 Pd 3.05

Values from the calculation:
Spin magnetization in μB per cell: 0.0
Total DFT energy (no corrections) in eV/atom: -6.6528

***

# 3
This record from Alexandria describes crystalline HoThPd2 at its relaxed geometry. The functional is PBE.

Cell: 3.7738 4.6309 5.6965 Å, 90.00 109.27 90.00°
With the nearest neighbours (Å) after each atom.
Space group Pm (No. 6)
Unique sites:
Ho (0.0000, 0.0000, 0.0000)  7 Pd 2.95-3.07
Th (0.2741, 0.5000, 0.5494)  7 Pd 2.95-3.08
Pd (0.5483, 0.5000, 0.0975)  3 Th 2.95-3.08, 2 Pd 3.00, 4 Ho 3.03
Pd (0.7252, 0.0000, 0.4510)  3 Ho 2.95-3.07, 2 Pd 3.00, 4 Th 3.03

Values from the calculation:
Spin magnetization in μB per cell: 0.0
Total DFT energy (no corrections) in eV/atom: -6.4485

***

# 4
This record from Alexandria describes crystalline HoTh2Pd7 at its relaxed geometry. The functional is PBE.

Cell: 5.7322 8.6059 17.1615 Å, 90.00 90.00 90.00°
With the nearest neighbours (Å) after each atom.
Space group Fmmm (No. 69)
Unique sites:
Ho (0.0000, 0.0000, 0.0000)  10 Pd 2.87-2.95
Th (0.0000, 0.0000, 0.3325)  9 Pd 2.87-2.96
Pd (0.0000, 0.0000, 0.5000)  2 Ho 2.87, 2 Th 2.87, 8 Pd 2.95
Pd (0.2500, 0.2500, 0.0831)  6 Pd 2.85-2.95, 2 Ho 2.95, 2 Th 2.96
Pd (0.2500, 0.2500, 0.2500)  4 Pd 2.86-2.87, 4 Th 2.95

Values from the calculation:
Spin magnetization in μB per cell: 0.0
Total DFT energy (no corrections) in eV/atom: -6.2904

***

# 5
This record from Alexandria describes crystalline HoTh2Pd at its relaxed geometry. The functional is PBE.

Cell: 3.6658 3.6658 8.3572 Å, 90.00 90.00 90.00°
With the nearest neighbours (Å) after each atom.
Space group P4/mmm (No. 123)
Unique sites:
Ho (0.0000, 0.0000, 0.0000)  8 Th 3.55, 4 Ho 3.67
Th (0.5000, 0.5000, 0.2898)  4 Pd 3.13
Pd (0.0000, 0.0000, 0.5000)  8 Th 3.13

Values from the calculation:
Spin magnetization in μB per cell: 0.0
Total DFT energy (no corrections) in eV/atom: -6.4251

***

# 6
This record from Alexandria describes crystalline HoThPd2 at its relaxed geometry. The functional is PBE.

Cell: 4.1423 4.1423 20.2180 Å, 90.00 90.00 120.00°
With the nearest neighbours (Å) after each atom.
Space group R-3m (No. 166, hexagonal axes)
Unique sites:
Ho (0.0000, 0.0000, 0.0000)  6 Pd 2.91
Th (0.0000, 0.0000, 0.5000)  6 Pd 2.94
Pd (0.0000, 0.0000, 0.2513)  3 Ho 2.91, 3 Th 2.94

Values from the calculation:
Spin magnetization in μB per cell: 0.0
Total DFT energy (no corrections) in eV/atom: -6.3366

***

# 7
This record from Alexandria describes crystalline HoTh2Pd2 at its relaxed geometry. The functional is PBE.

Cell: 8.0820 8.0820 3.8845 Å, 90.00 90.00 90.00°
With the nearest neighbours (Å) after each atom.
Space group P4/mbm (No. 127)
Unique sites:
Ho (0.0000, 0.0000, 0.0000)  4 Pd 3.18
Th (0.1727, 0.3273, 0.5000)  6 Pd 3.00-3.13
Pd (0.1275, 0.6275, 0.0000)  1 Pd 2.92, 6 Th 3.00-3.13, 2 Ho 3.18

Values from the calculation:
Spin magnetization in μB per cell: 0.0
Total DFT energy (no corrections) in eV/atom: -6.6055

***

# 8
This record from Alexandria describes crystalline HoTh2Pd at its relaxed geometry. The functional is PBE.

Cell: 3.7156 3.7156 29.2457 Å, 90.00 90.00 120.00°
With the nearest neighbours (Å) after each atom.
Space group R-3m (No. 166, hexagonal axes)
Unique sites:
Ho (0.0000, 0.0000, 0.0000)  6 Th 3.54, 6 Ho 3.72
Th (0.0000, 0.0000, 0.2371)  3 Pd 2.97
Pd (0.0000, 0.0000, 0.5000)  6 Th 2.97

Values from the calculation:
Spin magnetization in μB per cell: 0.0
Total DFT energy (no corrections) in eV/atom: -6.3647

***

# 9
This record from Alexandria describes crystalline Ho2ThPd at its relaxed geometry. The functional is PBE.

Cell: 3.6219 3.6219 29.2548 Å, 90.00 90.00 120.00°
With the nearest neighbours (Å) after each atom.
Space group R-3m (No. 166, hexagonal axes)
Unique sites:
Ho (0.0000, 0.0000, 0.2336)  3 Pd 2.87
Th (0.0000, 0.0000, 0.0000)  6 Ho 3.59, 6 Th 3.62
Pd (0.0000, 0.0000, 0.5000)  6 Ho 2.87

Values from the calculation:
Spin magnetization in μB per cell: 0.0
Total DFT energy (no corrections) in eV/atom: -5.7198

***

# 10
This record from Alexandria describes crystalline Ho3ThPd12 at its relaxed geometry. The functional is PBE.

Cell: 4.1476 4.1476 16.4838 Å, 90.00 90.00 90.00°
With the nearest neighbours (Å) after each atom.
Space group P4/mmm (No. 123)
Unique sites:
Ho (0.0000, 0.0000, 0.0000)  12 Pd 2.91-2.93
Ho (0.0000, 0.0000, 0.2462)  12 Pd 2.89-2.94
Th (0.0000, 0.0000, 0.5000)  12 Pd 2.93-2.95
Pd (0.0000, 0.5000, 0.1241)  4 Ho 2.89-2.91, 8 Pd 2.91-2.93
Pd (0.0000, 0.5000, 0.3729)  8 Pd 2.92-2.95, 2 Ho 2.94, 2 Th 2.95
Pd (0.5000, 0.5000, 0.0000)  8 Pd 2.91, 4 Ho 2.93
Pd (0.5000, 0.5000, 0.2483)  8 Pd 2.91-2.92, 4 Ho 2.93
Pd (0.5000, 0.5000, 0.5000)  4 Th 2.93, 8 Pd 2.95

Values from the calculation:
Spin magnetization in μB per cell: 0.0
Total DFT energy (no corrections) in eV/atom: -6.1425

***

# 11
This record from Alexandria describes crystalline Ho2ThPd7 at its relaxed geometry. The functional is PBE.

Cell: 5.7889 8.4130 16.9794 Å, 90.00 90.00 90.00°
With the nearest neighbours (Å) after each atom.
Space group Fmmm (No. 69)
Unique sites:
Ho (0.0000, 0.0000, 0.1734)  9 Pd 2.87-2.96
Th (0.0000, 0.0000, 0.5000)  10 Pd 2.89-2.94
Pd (0.0000, 0.0000, 0.0000)  2 Th 2.89, 8 Pd 2.94, 2 Ho 2.94
Pd (0.2500, 0.2500, 0.0856)  6 Pd 2.79-2.94, 2 Th 2.94, 2 Ho 2.96
Pd (0.2500, 0.2500, 0.2500)  4 Pd 2.79-2.89, 4 Ho 2.87

Values from the calculation:
Spin magnetization in μB per cell: 0.0
Total DFT energy (no corrections) in eV/atom: -6.0165